Record 1
Compound: ScTl2Si
Source: the Alexandria database
Functional: GGA-PBE
Structure: relaxed

Structure (extended XYZ):
```
4
Lattice="1.759 1.016 8.904 -1.759 1.016 8.904 0.000 -2.031 8.904" Properties=species:S:1:pos:R:3 pbc="T T T"
Sc 0.000 0.000 0.000
Tl 0.000 0.000 6.540
Tl 0.000 0.000 20.171
Si 0.000 0.000 13.355
```

Output
Energy relative to the elements, uncorrected, meV/atom: 241
Energy above the most stable polymorph in this dataset, eV/f.u.: 1.18

Record 2
Compound: Sc2TlSi
Source: the Alexandria database
Functional: GGA-PBE
Structure: relaxed

Structure (extended XYZ):
```
4
Lattice="4.160 0.000 0.000 0.000 3.956 0.000 -2.078 0.000 5.242" Properties=species:S:1:pos:R:3 pbc="T T T"
Sc 0.000 0.000 0.000
Sc -0.003 1.978 2.890
Tl 2.081 1.978 0.566
Si 2.075 0.000 2.477
```

Output
Energy relative to the elements, uncorrected, meV/atom: -404

Record 3
Compound: Sc2TlSi
Source: the Alexandria database
Functional: GGA-PBE
Structure: relaxed

Structure (extended XYZ):
```
4
Lattice="1.640 0.947 10.335 -1.640 0.947 10.335 0.000 -1.893 10.335" Properties=species:S:1:pos:R:3 pbc="T T T"
Sc 0.000 0.000 2.666
Sc 0.000 0.000 28.338
Tl 0.000 0.000 15.502
Si 0.000 0.000 0.000
```

Output
Energy relative to the elements, uncorrected, meV/atom: 222

Record 4
Compound: Sc2TlSi
Source: the Alexandria database
Functional: GGA-PBE
Structure: relaxed

Structure (extended XYZ):
```
4
Lattice="-2.153 2.330 4.119 2.153 -2.330 4.119 2.153 2.330 -4.119" Properties=species:S:1:pos:R:3 pbc="T T T"
Sc 0.000 0.000 1.969
Sc 0.000 0.000 6.269
Tl 0.000 2.330 0.000
Si 2.153 0.000 0.000
```

Output
Energy relative to the elements, uncorrected, meV/atom: -311

Record 5
Compound: ScTl2Si
Source: the Alexandria database
Functional: GGA-PBE
Structure: relaxed

Structure (extended XYZ):
```
4
Lattice="-1.896 1.908 7.222 1.896 -1.908 7.222 1.896 1.908 -7.222" Properties=species:S:1:pos:R:3 pbc="T T T"
Sc 0.000 0.000 0.000
Tl 1.896 0.000 2.588
Tl 0.000 1.908 4.633
Si 0.000 0.000 7.222
```

Output
Energy relative to the elements, uncorrected, meV/atom: -50
Energy above the most stable polymorph in this dataset, eV/f.u.: 0.02

Record 6
Compound: ScTlSi2
Source: the Alexandria database
Functional: GGA-PBE
Structure: relaxed

Structure (extended XYZ):
```
4
Lattice="1.673 0.966 8.738 -1.673 0.966 8.738 0.000 -1.932 8.738" Properties=species:S:1:pos:R:3 pbc="T T T"
Sc 0.000 0.000 0.000
Tl 0.000 0.000 13.107
Si 0.000 0.000 6.699
Si 0.000 0.000 19.515
```

Output
Energy relative to the elements, uncorrected, meV/atom: 210
Energy above the most stable polymorph in this dataset, eV/f.u.: 1.14

Record 7
Compound: Sc2TlSi
Source: the Alexandria database
Functional: GGA-PBE
Structure: relaxed

Structure (extended XYZ):
```
4
Lattice="4.524 0.000 0.000 0.000 4.524 0.000 0.000 0.000 4.025" Properties=species:S:1:pos:R:3 pbc="T T T"
Sc 0.000 2.262 0.000
Sc 2.262 0.000 0.000
Tl 0.000 0.000 2.013
Si 2.262 2.262 2.013
```

Output
Energy relative to the elements, uncorrected, meV/atom: -316

Record 8
Compound: Sc3TlSi
Source: the Alexandria database
Functional: GGA-PBE
Structure: relaxed

Structure (extended XYZ):
```
5
Lattice="5.004 0.000 0.000 0.000 5.004 0.000 0.000 0.000 5.004" Properties=species:S:1:pos:R:3 pbc="T T T"
Sc 0.000 0.000 2.502
Sc 0.000 2.502 0.000
Sc 2.502 0.000 0.000
Tl 2.502 2.502 2.502
Si 0.000 0.000 0.000
```

Output
Energy relative to the elements, uncorrected, meV/atom: -255
Energy above the most stable polymorph in this dataset, eV/f.u.: 0.00

Record 9
Compound: ScTl2Si
Source: the Alexandria database
Functional: GGA-PBE
Structure: relaxed

Structure (extended XYZ):
```
8
Lattice="-4.054 4.054 2.932 4.054 -4.054 2.932 4.054 4.054 -2.932" Properties=species:S:1:pos:R:3 pbc="T T T"
Sc 0.000 0.000 0.000
Sc 0.000 4.054 1.466
Tl 2.027 -1.757 2.199
Tl 2.296 2.027 0.733
Tl 2.027 5.811 -0.733
Tl 1.757 2.027 3.664
Si 4.054 0.000 1.466
Si 0.000 0.000 2.932
```

Output
Energy relative to the elements, uncorrected, meV/atom: 137
Energy above the most stable polymorph in this dataset, eV/f.u.: 0.76

Record 10
Compound: Sc2TlSi
Source: the Alexandria database
Functional: GGA-PBE
Structure: relaxed

Structure (extended XYZ):
```
4
Lattice="3.955 -2.270 0.000 3.955 2.270 0.000 -2.600 0.000 4.811" Properties=species:S:1:pos:R:3 pbc="T T T"
Sc 1.324 0.000 1.014
Sc 3.986 0.000 3.797
Tl -1.300 0.000 2.405
Si 3.955 0.000 0.000
```

Output
Energy relative to the elements, uncorrected, meV/atom: -322

Record 11
Compound: ScTl2Si
Source: the Alexandria database
Functional: GGA-PBE
Structure: relaxed

Structure (extended XYZ):
```
4
Lattice="1.717 0.991 9.555 -1.717 0.991 9.555 0.000 -1.982 9.555" Properties=species:S:1:pos:R:3 pbc="T T T"
Sc 0.000 0.000 0.000
Tl 0.000 0.000 14.841
Tl 0.000 0.000 21.589
Si 0.000 0.000 7.607
```

Output
Energy relative to the elements, uncorrected, meV/atom: 86
Energy above the most stable polymorph in this dataset, eV/f.u.: 0.56

Record 12
Compound: ScTlSi
Source: the Alexandria database
Functional: GGA-PBE
Structure: relaxed

Structure (extended XYZ):
```
3
Lattice="0.000 2.693 5.692 2.120 0.000 5.692 2.120 2.693 0.000" Properties=species:S:1:pos:R:3 pbc="T T T"
Sc 0.000 0.000 0.000
Tl 2.120 2.693 7.931
Si 2.120 2.693 4.130
```

Output
Energy relative to the elements, uncorrected, meV/atom: -50
Energy above the most stable polymorph in this dataset, eV/f.u.: 0.60

Record 13
Compound: ScTlSi
Source: the Alexandria database
Functional: GGA-PBE
Structure: relaxed

Structure (extended XYZ):
```
3
Lattice="0.000 3.284 3.284 3.284 0.000 3.284 3.284 3.284 0.000" Properties=species:S:1:pos:R:3 pbc="T T T"
Sc 0.000 0.000 0.000
Tl 3.284 3.284 3.284
Si 1.642 1.642 1.642
```

Output
Energy relative to the elements, uncorrected, meV/atom: 93
Energy above the most stable polymorph in this dataset, eV/f.u.: 1.03

Record 14
Compound: ScTl2Si
Source: the Alexandria database
Functional: GGA-PBE
Structure: relaxed

Structure (extended XYZ):
```
4
Lattice="0.000 3.627 3.627 3.627 0.000 3.627 3.627 3.627 0.000" Properties=species:S:1:pos:R:3 pbc="T T T"
Sc 0.000 0.000 0.000
Tl 1.814 1.814 1.814
Tl 5.441 5.441 5.441
Si 3.627 3.627 3.627
```

Output
Energy relative to the elements, uncorrected, meV/atom: 278
Energy above the most stable polymorph in this dataset, eV/f.u.: 1.33

Record 15
Compound: ScTlSi2
Source: the Alexandria database
Functional: GGA-PBE
Structure: relaxed

Structure (extended XYZ):
```
4
Lattice="4.385 0.000 0.000 0.000 4.385 0.000 0.000 0.000 3.992" Properties=species:S:1:pos:R:3 pbc="T T T"
Sc 0.000 0.000 0.000
Tl 2.193 2.193 0.000
Si 0.000 2.193 1.996
Si 2.193 0.000 1.996
```

Output
Energy relative to the elements, uncorrected, meV/atom: 29
Energy above the most stable polymorph in this dataset, eV/f.u.: 0.42